(1)
Below is Sr2ZnIn after structural relaxation, with properties calculated at the PBE level.

Cell lengths 3.930, 3.930, 8.955 Å; angles 90.00, 90.00, 90.00 degrees
Positions (direct):
Sr1 0.000 0.000 0.000
Sr2 0.500 0.500 0.383
Zn1 0.000 0.000 0.594
In1 0.500 0.500 0.761

M_tot: 0.0 μB per formula unit
E_form: -56 kJ/mol of formula units
space-group type: P4mm, No. 99
D(E_F): 0.843 states/eV per atom
calculated volume: 138.3 Å³/cell



(2)
Below is SrZn4In4 after structural relaxation, with properties calculated at the PBE level.

Cell lengths 8.968, 8.968, 5.790 Å; angles 90.00, 90.00, 90.00 degrees
Positions (direct):
Sr1 0.250 0.250 0.250
Sr2 0.750 0.750 0.750
Zn1 0.078 0.918 0.127
Zn2 0.082 0.578 0.627
Zn3 0.418 0.922 0.627
Zn4 0.422 0.582 0.127
Zn5 0.578 0.418 0.873
Zn6 0.582 0.078 0.373
Zn7 0.918 0.422 0.373
Zn8 0.922 0.082 0.873
In1 0.109 0.617 0.124
In2 0.117 0.891 0.624
In3 0.383 0.609 0.624
In4 0.391 0.883 0.124
In5 0.609 0.117 0.876
In6 0.617 0.391 0.376
In7 0.883 0.109 0.376
In8 0.891 0.383 0.876

M_tot: 0.0 μB per formula unit
E_form: -32 kJ/mol of formula units
space-group type: P4_2/n, No. 86
D(E_F): 0.428 states/eV per atom
calculated volume: 465.7 Å³/cell



(3)
Below is SrZnIn3 after structural relaxation, with properties calculated at the PBE level.

Cell lengths 6.976, 6.976, 6.567 Å; angles 90.00, 90.00, 123.11 degrees
Positions (direct):
Sr1 0.246 0.754 0.750
Sr2 0.754 0.246 0.250
Zn1 0.364 0.636 0.250
Zn2 0.636 0.364 0.750
In1 0.149 0.851 0.250
In2 0.260 0.260 0.000
In3 0.260 0.260 0.500
In4 0.740 0.740 0.000
In5 0.740 0.740 0.500
In6 0.851 0.149 0.750

M_tot: 0.0 μB per formula unit
E_form: -140 kJ/mol of formula units
space-group type: Cmcm, No. 63
D(E_F): 0.507 states/eV per atom
calculated volume: 267.7 Å³/cell



(4)
Below is Sr3Zn3In2 after structural relaxation, with properties calculated at the PBE level.

Cell lengths 6.461, 6.461, 15.933 Å; angles 90.00, 90.00, 136.81 degrees
Positions (direct):
Sr1 0.082 0.918 0.610
Sr2 0.082 0.918 0.890
Sr3 0.370 0.630 0.750
Sr4 0.630 0.370 0.250
Sr5 0.918 0.082 0.110
Sr6 0.918 0.082 0.390
Zn1 0.339 0.661 0.250
Zn2 0.396 0.604 0.535
Zn3 0.396 0.604 0.965
Zn4 0.604 0.396 0.035
Zn5 0.604 0.396 0.465
Zn6 0.661 0.339 0.750
In1 0.209 0.791 0.089
In2 0.209 0.791 0.411
In3 0.791 0.209 0.589
In4 0.791 0.209 0.911

M_tot: 0.0 μB per formula unit
E_form: -240 kJ/mol of formula units
space-group type: Cmcm, No. 63
D(E_F): 0.720 states/eV per atom
calculated volume: 455.3 Å³/cell



(5)
Below is Sr2ZnIn3 after structural relaxation, with properties calculated at the PBE level.

Cell lengths 4.047, 5.006, 8.638 Å; angles 90.00, 90.00, 90.00 degrees
Positions (direct):
Sr1 0.000 0.000 0.000
Sr2 0.000 0.500 0.488
Zn1 0.500 0.000 0.323
In1 0.500 0.000 0.646
In2 0.500 0.500 0.171
In3 0.500 0.500 0.828

energy relative to the lowest polymorph listed for this composition: 0.031 eV per atom
M_tot: 0.0 μB per formula unit
E_form: -222 kJ/mol of formula units
space-group type: Pmm2, No. 25
D(E_F): 0.430 states/eV per atom
calculated volume: 175.0 Å³/cell



(6)
Below is Sr2Zn3In6 after structural relaxation, with properties calculated at the PBE level.

Cell lengths 8.448, 8.448, 4.661 Å; angles 90.00, 90.00, 120.00 degrees
Positions (direct):
Sr1 0.333 0.667 0.000
Sr2 0.667 0.333 0.000
Zn1 0.000 0.630 0.500
Zn2 0.370 0.370 0.500
Zn3 0.630 0.000 0.500
In1 0.000 0.310 0.500
In2 0.000 0.796 0.000
In3 0.204 0.204 0.000
In4 0.310 0.000 0.500
In5 0.690 0.690 0.500
In6 0.796 0.000 0.000

M_tot: 0.0 μB per formula unit
E_form: -258 kJ/mol of formula units
space-group type: P-62m, No. 189
D(E_F): 0.318 states/eV per atom
calculated volume: 288.1 Å³/cell



(7)
Below is Sr2ZnIn after structural relaxation, with properties calculated at the PBE level.

Cell lengths 12.867, 3.884, 5.615 Å; angles 90.00, 115.54, 90.00 degrees
Positions (direct):
Sr1 0.000 0.000 0.000
Sr2 0.198 0.000 0.697
Sr3 0.500 0.500 0.000
Sr4 0.698 0.500 0.697
Zn1 0.241 0.500 0.237
Zn2 0.741 0.000 0.237
In1 0.421 0.000 0.422
In2 0.921 0.500 0.422

M_tot: 0.0 μB per formula unit
E_form: -100 kJ/mol of formula units
space-group type: Cm, No. 8
D(E_F): 0.472 states/eV per atom
calculated volume: 253.2 Å³/cell



(8)
Below is Sr5ZnIn4 after structural relaxation, with properties calculated at the PBE level.

Cell lengths 4.067, 4.067, 20.034 Å; angles 90.00, 90.00, 90.00 degrees
Positions (direct):
Sr1 0.000 0.000 0.000
Sr2 0.000 0.000 0.202
Sr3 0.000 0.000 0.405
Sr4 0.000 0.000 0.595
Sr5 0.000 0.000 0.798
Zn1 0.500 0.500 0.500
In1 0.500 0.500 0.102
In2 0.500 0.500 0.302
In3 0.500 0.500 0.698
In4 0.500 0.500 0.898

M_tot: 0.0 μB per formula unit
E_form: -365 kJ/mol of formula units
space-group type: P4/mmm, No. 123
D(E_F): 0.769 states/eV per atom
calculated volume: 331.4 Å³/cell